Record 1
## Hf2ScAlN (PBE-GGA)

Data for an optimized crystal structure of Hf2ScAlN.

- Magnetic moment: 0.9 μB per formula unit
- Formation energy without anion corrections: 2.16 eV/atom
- Total DFT energy (no corrections): -5.50 eV per atom

Lattice parameters (Å, degrees): 4.928 4.928 4.993 90.00 90.00 90.00
Space group P4/mmm (No. 123)
Inequivalent atoms, fractional coordinates:
Hf1 0.000 0.500 0.000 x2
Sc1 0.000 0.000 0.000 x1
Al1 0.000 0.000 0.500 x1
N1 0.500 0.500 0.500 x1

Record 2
## Mn2InMo (PBE-GGA)

Data for an optimized crystal structure of Mn2InMo.

- Magnetic moment: 0.8 μB per formula unit
- Energy of formation from the pure elements: 0.22 eV per atom
- Total DFT energy (no corrections): -7.75 eV per atom

Lattice parameters (Å, degrees): 3.070 3.070 6.175 90.00 90.00 90.00
Space group P4/mmm (No. 123)
Inequivalent atoms, fractional coordinates:
Mn1 0.000 0.000 0.219 x2
In1 0.500 0.500 0.500 x1
Mo1 0.500 0.500 0.000 x1

Record 3
## MoRuPt (PBE-GGA)

Data for an optimized crystal structure of MoRuPt.

- Magnetic moment: 0.0 μB per formula unit
- Energy of formation from the pure elements: 0.04 eV per atom
- Total DFT energy (no corrections): -8.67 eV per atom

Lattice parameters (Å, degrees): 3.285 3.285 8.583 90.00 90.00 90.00
Space group I4mm (No. 107)
Inequivalent atoms, fractional coordinates:
Mo1 0.000 0.000 0.000 x2
Ru1 0.000 0.000 0.355 x2
Pt1 0.000 0.000 0.674 x2

Record 4
## Al2CoH (PBE-GGA)

Data for an optimized crystal structure of Al2CoH.

- Magnetic moment: 0.0 μB per formula unit
- Total DFT energy (no corrections): -4.46 eV per atom

Lattice parameters (Å, degrees): 5.583 5.583 5.676 90.00 90.00 90.00
Space group I-42d (No. 122)
Inequivalent atoms, fractional coordinates:
Al1 0.175 0.250 0.125 x8
Co1 0.000 0.000 0.500 x4
H1 0.000 0.000 0.000 x4

Record 5
## Re3PRu (PBE-GGA)

Data for an optimized crystal structure of Re3PRu.

- Magnetic moment: 0.0 μB per formula unit
- Energy of formation from the pure elements: 1.04 eV per atom
- Total DFT energy (no corrections): -9.37 eV per atom

Lattice parameters (Å, degrees): 4.326 4.326 4.326 90.00 90.00 90.00
Space group Pm-3m (No. 221)
Inequivalent atoms, fractional coordinates:
Re1 0.000 0.000 0.500 x3
P1 0.000 0.000 0.000 x1
Ru1 0.500 0.500 0.500 x1

Record 6
## Sc2AlSb (PBE-GGA)

Data for an optimized crystal structure of Sc2AlSb.

- Magnetic moment: 0.0 μB per formula unit
- Formation energy without anion corrections: -0.28 eV/atom
- Total DFT energy (no corrections): -5.41 eV per atom

Lattice parameters (Å, degrees): 7.729 7.729 6.253 90.00 90.00 90.00
Space group I-42d (No. 122)
Inequivalent atoms, fractional coordinates:
Sc1 0.247 0.250 0.125 x8
Al1 0.000 0.000 0.000 x4
Sb1 0.000 0.000 0.500 x4

Record 7
## YBr2F (PBE-GGA)

Data for an optimized crystal structure of YBr2F.

- Magnetic moment: 0.0 μB per formula unit
- Formation energy without anion corrections: -1.91 eV/atom
- Total DFT energy (no corrections): -4.83 eV per atom

Lattice parameters (Å, degrees): 6.909 6.909 6.909 90.00 90.00 90.00
Space group Fm-3m (No. 225)
Inequivalent atoms, fractional coordinates:
Y1 0.000 0.000 0.000 x4
Br1 0.250 0.250 0.250 x8
F1 0.000 0.000 0.500 x4

Record 8
## La2HgAs4Rh3 (PBE-GGA)

Data for an optimized crystal structure of La2HgAs4Rh3.

- Magnetic moment: 0.0 μB per formula unit
- Energy of formation from the pure elements: -0.80 eV per atom
- Total DFT energy (no corrections): -5.88 eV per atom

Lattice parameters (Å, degrees): 4.427 4.427 10.271 90.00 90.00 90.00
Space group P-4m2 (No. 115)
Inequivalent atoms, fractional coordinates:
La1 0.000 0.500 0.236 x2
Hg1 0.000 0.000 0.500 x1
As1 0.000 0.000 0.000 x1
As2 0.000 0.500 0.651 x2
As3 0.500 0.500 0.000 x1
Rh1 0.000 0.500 0.889 x2
Rh2 0.500 0.500 0.500 x1

Record 9
## Sc4PdRh (PBE-GGA)

Data for an optimized crystal structure of Sc4PdRh.

- Magnetic moment: 0.0 μB per formula unit
- Energy of formation from the pure elements: -0.68 eV per atom
- Total DFT energy (no corrections): -6.99 eV per atom

Lattice parameters (Å, degrees): 12.401 12.401 12.401 90.00 90.00 90.00
Space group F-43m (No. 216)
Inequivalent atoms, fractional coordinates:
Sc1 0.000 0.000 0.184 x24
Sc2 0.065 0.250 0.250 x24
Sc3 0.129 0.129 0.629 x16
Pd1 0.088 0.088 0.412 x16
Rh1 0.157 0.157 0.843 x16

Record 10
## DyTm2Rh9 (PBE-GGA)

Data for an optimized crystal structure of DyTm2Rh9.

- Magnetic moment: 0.0 μB per formula unit
- Energy of formation from the pure elements: -0.58 eV per atom
- Total DFT energy (no corrections): -7.23 eV per atom

Lattice parameters (Å, degrees): 5.2380 5.2380 26.2185 90.00 90.00 120.00
Space group R-3m (No. 166, hexagonal axes)
Inequivalent atoms, fractional coordinates:
Dy1 0.0000 0.0000 0.0000 x3
Tm1 0.0000 0.0000 0.1392 x6
Rh1 0.0000 0.0000 0.3332 x6
Rh2 0.0000 0.0000 0.5000 x3
Rh3 0.0009 0.5004 0.9168 x18

Record 11
## Dy5ThCd4 (PBE-GGA)

Data for an optimized crystal structure of Dy5ThCd4.

- Magnetic moment: 0.0 μB per formula unit
- Energy of formation from the pure elements: -0.25 eV per atom
- Total DFT energy (no corrections): -3.66 eV per atom

Lattice parameters (Å, degrees): 3.692 3.692 20.011 90.00 90.00 90.00
Space group P4/mmm (No. 123)
Inequivalent atoms, fractional coordinates:
Dy1 0.000 0.000 0.000 x1
Dy2 0.000 0.000 0.190 x2
Dy3 0.000 0.000 0.383 x2
Th1 0.500 0.500 0.500 x1
Cd1 0.500 0.500 0.095 x2
Cd2 0.500 0.500 0.286 x2